(1)
# KNi2Te, optimized geometry, DFT PBE
# Fermi-level density of states = 0.481 states/eV/atom
# Formation energy (no corrections) = -0.17 eV/atom
data_KNi2Te
_space_group_name_H-M_alt 'P 1'
_space_group_IT_number 1
_space_group_name_Hall 'P 1'
_cell_length_a 4.2610
_cell_length_b 4.2610
_cell_length_c 6.5398
_cell_angle_alpha 108.88
_cell_angle_beta 108.88
_cell_angle_gamma 60.01
loop_
_atom_site_label
_atom_site_fract_x
_atom_site_fract_y
_atom_site_fract_z
K1 0.0000 0.0000 0.0000
Ni1 0.4850 0.4850 0.4477
Ni2 0.8144 0.8144 0.4355
Te1 0.1899 0.1899 0.5630

=====

(2)
# KNi2Te, optimized geometry, DFT PBE
# Fermi-level density of states = 0.943 states/eV/atom
# Formation energy (no corrections) = 0.36 eV/atom
data_KNi2Te
_space_group_name_H-M_alt 'P 1'
_space_group_IT_number 1
_space_group_name_Hall 'P 1'
_cell_length_a 3.4102
_cell_length_b 3.4102
_cell_length_c 7.5702
_cell_angle_alpha 90.00
_cell_angle_beta 90.00
_cell_angle_gamma 90.00
loop_
_atom_site_label
_atom_site_fract_x
_atom_site_fract_y
_atom_site_fract_z
K1 0.0000 0.0000 0.0000
Ni1 0.5000 0.5000 0.3381
Ni2 0.5000 0.5000 0.6619
Te1 0.0000 0.0000 0.5000

=====

(3)
# KNiTe3, optimized geometry, DFT PBE
# Energy relative to the lowest polymorph listed for this composition = 155.07 kJ per mole of atoms
# Fermi-level density of states = 2.838 states/eV/atom
# Formation energy (no corrections) = 1.43 eV/atom
data_KNiTe3
_space_group_name_H-M_alt 'P 1'
_space_group_IT_number 1
_space_group_name_Hall 'P 1'
_cell_length_a 5.8662
_cell_length_b 5.8662
_cell_length_c 5.8662
_cell_angle_alpha 90.00
_cell_angle_beta 90.00
_cell_angle_gamma 90.00
loop_
_atom_site_label
_atom_site_fract_x
_atom_site_fract_y
_atom_site_fract_z
K1 0.0000 0.0000 0.0000
Ni1 0.5000 0.5000 0.5000
Te1 0.0000 0.0000 0.5000
Te2 0.0000 0.5000 0.0000
Te3 0.5000 0.0000 0.0000

=====

(4)
# KNi4Te8, optimized geometry, DFT PBE
# Fermi-level density of states = 0.653 states/eV/atom
# Formation energy (no corrections) = -0.28 eV/atom
data_KNi4Te8
_space_group_name_H-M_alt 'P 1'
_space_group_IT_number 1
_space_group_name_Hall 'P 1'
_cell_length_a 8.7900
_cell_length_b 8.7900
_cell_length_c 12.2526
_cell_angle_alpha 126.82
_cell_angle_beta 126.82
_cell_angle_gamma 25.77
loop_
_atom_site_label
_atom_site_fract_x
_atom_site_fract_y
_atom_site_fract_z
K1 0.0000 0.0000 0.0000
Ni1 0.1375 0.1375 0.4657
Ni2 0.3355 0.3355 0.1755
Ni3 0.6653 0.6653 0.8258
Ni4 0.8633 0.8633 0.5352
Te1 0.0440 0.0440 0.7589
Te2 0.2909 0.2909 0.9244
Te3 0.3312 0.3312 0.6504
Te4 0.3895 0.3895 0.4245
Te5 0.6116 0.6116 0.5767
Te6 0.6696 0.6696 0.3504
Te7 0.7099 0.7099 0.0769
Te8 0.9569 0.9569 0.2422

=====

(5)
# K4NiTe, optimized geometry, DFT PBE
# Fermi-level density of states = 1.744 states/eV/atom
# Formation energy (no corrections) = 0.40 eV/atom
data_K4NiTe
_space_group_name_H-M_alt 'P 1'
_space_group_IT_number 1
_space_group_name_Hall 'P 1'
_cell_length_a 6.8706
_cell_length_b 6.8706
_cell_length_c 6.8706
_cell_angle_alpha 60.00
_cell_angle_beta 60.00
_cell_angle_gamma 60.00
loop_
_atom_site_label
_atom_site_fract_x
_atom_site_fract_y
_atom_site_fract_z
K1 0.3759 0.3759 0.3759
K2 0.3759 0.3759 0.8722
K3 0.3759 0.8722 0.3759
K4 0.8722 0.3759 0.3759
Ni1 0.0000 0.0000 0.0000
Te1 0.7500 0.7500 0.7500

=====

(6)
# KNi2Te, optimized geometry, DFT PBE
# Fermi-level density of states = 1.119 states/eV/atom
# Formation energy (no corrections) = 0.03 eV/atom
data_KNi2Te
_space_group_name_H-M_alt 'P 1'
_space_group_IT_number 1
_space_group_name_Hall 'P 1'
_cell_length_a 4.6969
_cell_length_b 4.1150
_cell_length_c 5.5767
_cell_angle_alpha 90.00
_cell_angle_beta 102.01
_cell_angle_gamma 90.00
loop_
_atom_site_label
_atom_site_fract_x
_atom_site_fract_y
_atom_site_fract_z
K1 0.0000 0.0000 0.0000
Ni1 0.1654 0.5000 0.5501
Ni2 0.4257 0.0000 0.5437
Te1 0.6419 0.5000 0.4137

=====

(7)
# KNi2Te, optimized geometry, DFT PBE
# Fermi-level density of states = 0.920 states/eV/atom
# Formation energy (no corrections) = 0.00 eV/atom
data_KNi2Te
_space_group_name_H-M_alt 'P 1'
_space_group_IT_number 1
_space_group_name_Hall 'P 1'
_cell_length_a 9.0177
_cell_length_b 9.0177
_cell_length_c 9.0177
_cell_angle_alpha 147.28
_cell_angle_beta 147.28
_cell_angle_gamma 46.95
loop_
_atom_site_label
_atom_site_fract_x
_atom_site_fract_y
_atom_site_fract_z
K1 0.3750 0.6250 0.7500
K2 0.6250 0.3750 0.2500
Ni1 0.0000 0.0000 0.0000
Ni2 0.0000 0.0000 0.5000
Ni3 0.0000 0.5000 0.0000
Ni4 0.5000 0.0000 0.5000
Te1 0.1250 0.8750 0.2500
Te2 0.8750 0.1250 0.7500

=====

(8)
# KNi2Te, optimized geometry, DFT PBE
# Fermi-level density of states = 1.261 states/eV/atom
# Formation energy (no corrections) = 0.64 eV/atom
data_KNi2Te
_space_group_name_H-M_alt 'P 1'
_space_group_IT_number 1
_space_group_name_Hall 'P 1'
_cell_length_a 5.5120
_cell_length_b 5.5120
_cell_length_c 3.1069
_cell_angle_alpha 106.12
_cell_angle_beta 106.12
_cell_angle_gamma 107.70
loop_
_atom_site_label
_atom_site_fract_x
_atom_site_fract_y
_atom_site_fract_z
K1 0.0000 0.0000 0.0000
Ni1 0.0000 0.5000 0.5000
Ni2 0.5000 0.0000 0.5000
Te1 0.5000 0.5000 0.0000